KSc2Cd | GGA-PBE | relaxed

## Properties
* symmetry: P4/mmm, No. 123
* E_form: 231 meV per atom
* final energy: -3.438 eV/atom

extended XYZ file:
```
4
Lattice="3.339 0.000 0.000 0.000 3.339 0.000 0.000 0.000 10.780" Properties=species:S:1:pos:R:3 pbc="T T T"
K 0.000 0.000 0.000
Sc 1.670 1.670 3.432
Sc 1.670 1.670 7.348
Cd 0.000 0.000 5.390
```